Run w
PBE MgAsOF2, relaxed; space group = P4/mmm; V = 12.4 Å³/atom; size of the total moment = 0.9 μB/f.u.; density of states at the Fermi level = 1.38 states/eV/cell
1.0
3.7284 0.0000 0.0000
0.0000 3.7284 0.0000
0.0000 0.0000 4.4531
Mg As O F
1 1 1 2
Cartesian
0.0000 0.0000 0.0000
1.8642 1.8642 2.2265
0.0000 0.0000 2.2265
0.0000 1.8642 0.0000
1.8642 0.0000 0.0000

Run x
PBE MgAsOF2, relaxed; space group = P4/mmm; V = 15.3 Å³/atom; size of the total moment = 0.0 μB/f.u.; density of states at the Fermi level = 2.79 states/eV/cell
1.0
4.4051 0.0000 0.0000
0.0000 4.4051 0.0000
0.0000 0.0000 3.9326
Mg As O F
1 1 1 2
Cartesian
0.0000 0.0000 0.0000
2.2026 2.2026 1.9663
2.2026 2.2026 0.0000
0.0000 2.2026 1.9663
2.2026 0.0000 1.9663

Here are the energies relative to the best structure, in meV per atom: run w 0; run x 465.

Run w
PBE MgAs2SeF, relaxed; space group = P4/mmm; V = 24.0 Å³/atom; size of the total moment = 0.0 μB/f.u.; density of states at the Fermi level = 3.91 states/eV/cell
1.0
4.9796 0.0000 0.0000
0.0000 4.9796 0.0000
0.0000 0.0000 4.8429
Mg As Se F
1 2 1 1
Cartesian
0.0000 0.0000 0.0000
0.0000 2.4898 0.0000
2.4898 0.0000 0.0000
0.0000 0.0000 2.4214
2.4898 2.4898 2.4214

Run x
PBE MgAs2SeF, relaxed; space group = P4/mmm; V = 20.4 Å³/atom; size of the total moment = 0.0 μB/f.u.; density of states at the Fermi level = 3.26 states/eV/cell
1.0
4.3096 0.0000 0.0000
0.0000 4.3096 0.0000
0.0000 0.0000 5.4932
Mg As Se F
1 2 1 1
Cartesian
0.0000 0.0000 0.0000
0.0000 2.1548 2.7466
2.1548 0.0000 2.7466
2.1548 2.1548 0.0000
2.1548 2.1548 2.7466

Here are the energies relative to the best structure, in meV per atom: run w 373; run x 0.